Here is a relaxed Cr4Ga6Se15 crystal from the Alexandria database. Energies are from PBE.

Results
The value obtained for the density of states at the Fermi level is 4.24 states/eV per cell. The total energy is -121.9 eV for the cell shown. As for the space group: Cm.

Cell: 6.6534 6.6534 15.9332 Å, 95.20 95.20 119.46°
Last column: nearest neighbours and their distance in Å.
Atoms (fractional coordinates):
Cr 0.0000 0.0000 0.0000  6 Se 2.59-2.67
Cr 0.1061 0.1061 0.3959  6 Se 2.57-2.58
Cr 0.4483 0.7618 0.3968  6 Se 2.49-2.64
Cr 0.7618 0.4483 0.3968  6 Se 2.49-2.64
Ga 0.0304 0.6950 0.1572  4 Se 2.41-2.47
Ga 0.2284 0.5464 0.6352  4 Se 2.35-2.47
Ga 0.2974 0.9587 0.8403  4 Se 2.40-2.49
Ga 0.5464 0.2284 0.6352  4 Se 2.35-2.47
Ga 0.6950 0.0304 0.1572  4 Se 2.41-2.47
Ga 0.9587 0.2974 0.8403  4 Se 2.40-2.49
Se 0.0439 0.3366 0.1173  2 Ga 2.41-2.46, 1 Cr 2.66
Se 0.0707 0.7350 0.3146  1 Ga 2.47, 3 Cr 2.57-2.64
Se 0.1383 0.4753 0.4779  1 Ga 2.47, 3 Cr 2.57-2.63
Se 0.2107 0.9006 0.6818  3 Ga 2.47-2.49
Se 0.2942 0.2942 0.9144  2 Ga 2.44, 1 Cr 2.59
Se 0.3366 0.0439 0.1173  2 Ga 2.41-2.46, 1 Cr 2.66
Se 0.4027 0.4027 0.3141  3 Cr 2.49-2.57
Se 0.4753 0.1383 0.4779  1 Ga 2.47, 3 Cr 2.57-2.63
Se 0.5838 0.5838 0.6955  2 Ga 2.35
Se 0.6576 0.9556 0.8849  2 Ga 2.40-2.45, 1 Cr 2.67
Se 0.6977 0.6977 0.0809  2 Ga 2.44, 1 Cr 2.59
Se 0.7350 0.0707 0.3146  1 Ga 2.47, 3 Cr 2.57-2.64
Se 0.8114 0.8114 0.4796  3 Cr 2.50-2.58
Se 0.9006 0.2107 0.6818  3 Ga 2.47-2.49
Se 0.9556 0.6576 0.8849  2 Ga 2.40-2.45, 1 Cr 2.67

=====

Here is a relaxed CaPaGe2 crystal from the Alexandria database. Energies are from PBE.

Results
As for the excess energy over the best structure of this formula in the dataset: 0.0 meV/atom. The value obtained for the density of states at the Fermi level is 3.77 states/eV per cell. The total energy is -22.5 eV for the cell shown. As for the space group: P4/mmm.

Cell: 3.2977 3.2977 8.2667 Å, 90.00 90.00 90.00°
Last column: nearest neighbours and their distance in Å.
Atoms (fractional coordinates):
Ca 0.0000 0.0000 0.0000  8 Ge 3.14, 4 Ca 3.30
Pa 0.0000 0.0000 0.5000  8 Ge 3.09, 4 Pa 3.30
Ge 0.5000 0.5000 0.2546  4 Pa 3.09, 4 Ca 3.14, 4 Ge 3.30
Ge 0.5000 0.5000 0.7454  4 Pa 3.09, 4 Ca 3.14, 4 Ge 3.30

=====

| no. | total moment (Bohr magnetons per cell) |
| --- | --- |
| 1 | 11.99 |
| 2 | 0.00 |